1.
Computed, not measured: a crystal of InP4Os relaxed with PBEsol at the meta-GGA SCAN level of DFT.

Summary:
magnetization: 0.00 μB/cell
calculated formation energy: 1202.4 meV/atom

Unit cell a=5.0378 b=5.0378 c=5.0378 alpha=60.00 beta=60.00 gamma=60.00
Closest atoms and distances in Å follow each position.
Atoms (fractional coordinates):
Os: 0.0000 0.0000 0.0000  12 P 2.96, 4 In 3.09
P: 0.3759 0.8722 0.3759  6 P 2.50-2.54
P: 0.3759 0.3759 0.3759  6 P 2.50-2.54
P: 0.8722 0.3759 0.3759  6 P 2.50-2.54
P: 0.3759 0.3759 0.8722  6 P 2.50-2.54
In: 0.7500 0.7500 0.7500  12 P 2.95, 4 Os 3.09

---

2.
Computed, not measured: a crystal of InPOs2 relaxed with PBEsol at the meta-GGA SCAN level of DFT.

Summary:
magnetization: 0.00 μB/cell
calculated formation energy: 575.2 meV/atom
energy relative to the lowest polymorph listed for this composition: 466.9 meV/atom

Unit cell a=3.1009 b=4.3393 c=4.3393 alpha=90.00 beta=90.00 gamma=90.00
Closest atoms and distances in Å follow each position.
Atoms (fractional coordinates):
Os: 0.0000 0.0000 0.5000  4 P 2.67, 4 In 2.67
Os: 0.0000 0.5000 0.0000  4 P 2.67, 4 In 2.67
In: 0.5000 0.0000 0.0000  8 Os 2.67
P: 0.5000 0.5000 0.5000  8 Os 2.67

---

3.
Computed, not measured: a crystal of InPOs2 relaxed with PBEsol at the meta-GGA SCAN level of DFT.

Summary:
magnetization: 0.00 μB/cell
calculated formation energy: 108.3 meV/atom
energy relative to the lowest polymorph listed for this composition: 0.0 meV/atom

Unit cell a=2.9555 b=3.0402 c=7.3253 alpha=101.98 beta=101.64 gamma=90.00
Closest atoms and distances in Å follow each position.
Atoms (fractional coordinates):
Os: 0.9753 0.9753 0.9506  4 P 2.36
Os: 0.6710 0.1710 0.3420  2 P 2.29
In: 0.3049 0.8049 0.6098  6 Os 2.81-2.83, 4 In 2.96-3.04
P: 0.5488 0.5488 0.0976  6 Os 2.29-2.36

---

4.
Computed, not measured: a crystal of InPOs2 relaxed with PBEsol at the meta-GGA SCAN level of DFT.

Summary:
magnetization: 0.00 μB/cell
calculated formation energy: 215.5 meV/atom
energy relative to the lowest polymorph listed for this composition: 107.2 meV/atom

Unit cell a=2.9307 b=2.9307 c=6.7540 alpha=90.00 beta=90.00 gamma=90.00
Closest atoms and distances in Å follow each position.
Atoms (fractional coordinates):
In: 0.5000 0.5000 0.5000  8 Os 2.88, 4 In 2.93
Os: 0.0000 0.0000 0.2039  4 P 2.49, 1 Os 2.75
Os: 0.0000 0.0000 0.7961  4 P 2.49, 1 Os 2.75
P: 0.5000 0.5000 0.0000  8 Os 2.49